# 1
The following is a DFT calculation (SCAN) of LaTeP2S at its PBEsol-relaxed geometry.

Computed properties:
E_form (uncorrected): -0.16 eV/atom
theoretical density: 4.852 Mg/m³

Cell lengths 4.973, 4.973, 4.990 Å; angles 90.00, 90.00, 90.00 degrees
Sites, in units of the cell vectors:
P 0.000 0.500 0.000
P 0.500 0.000 0.000
S 0.000 0.000 0.500
La 0.500 0.500 0.500
Te 0.000 0.000 0.000

# 2
The following is a DFT calculation (SCAN) of EuCuSeO at its PBEsol-relaxed geometry.

Computed properties:
E_form (uncorrected): -1.77 eV/atom
theoretical density: 7.645 Mg/m³

Cell lengths 3.935, 3.935, 8.711 Å; angles 90.00, 90.00, 90.00 degrees
Sites, in units of the cell vectors:
Eu 0.000 0.500 0.369
Eu 0.500 0.000 0.631
Se 0.000 0.500 0.831
Se 0.500 0.000 0.169
O 0.500 0.500 0.500
O 0.000 0.000 0.500
Cu 0.000 0.000 0.000
Cu 0.500 0.500 0.000

# 3
The following is a DFT calculation (SCAN) of RePt2Pb at its PBEsol-relaxed geometry.

Computed properties:
theoretical density: 19.520 Mg/m³
final energy: -284.836 eV per formula unit

Cell lengths 4.051, 4.051, 4.970 Å; angles 114.05, 114.05, 90.00 degrees
Sites, in units of the cell vectors:
Pt 0.250 0.750 0.500
Pt 0.750 0.250 0.500
Pb 0.000 0.000 0.000
Re 0.500 0.500 0.000

# 4
The following is a DFT calculation (SCAN) of NaBeNb2Se at its PBEsol-relaxed geometry.

Computed properties:
E_form (uncorrected): 0.92 eV/atom
theoretical density: 4.538 Mg/m³

Cell lengths 4.745, 4.745, 4.823 Å; angles 90.00, 90.00, 90.00 degrees
Sites, in units of the cell vectors:
Se 0.000 0.000 0.000
Nb 0.000 0.500 0.000
Nb 0.500 0.000 0.000
Be 0.500 0.500 0.500
Na 0.000 0.000 0.500